# 1
ZnBiP2Cl | the Alexandria database | PBE | optimized geometry; ΔE_f (raw) = 4.26 eV/f.u.; SG = P4/mmm (123); V = 157 Å³ per cell; DFT total energy = -2.71 eV/atom
1.0
5.387 0.000 0.000
0.000 5.387 0.000
0.000 0.000 5.424
P Zn Bi Cl
2 1 1 1
Direct
0.000 0.500 0.000 P
0.500 0.000 0.000 P
0.500 0.500 0.500 Zn
0.000 0.000 0.000 Bi
0.000 0.000 0.500 Cl

# 2
La8Te4Ir3S | the Alexandria database | PBE | optimized geometry; ΔE_f (raw) = -21.46 eV/f.u.; SG = R-3m (166); V = 490 Å³ per cell; DFT total energy = -6.51 eV/atom
1.0
-3.497 -5.260 -5.891
7.930 -0.332 -4.411
-0.146 -2.174 8.359
La Te Ir S
8 4 3 1
Direct
0.242 0.711 0.969 La
0.242 0.711 0.484 La
0.263 0.290 0.526 La
0.727 0.711 0.969 La
0.273 0.289 0.031 La
0.737 0.710 0.474 La
0.758 0.289 0.516 La
0.758 0.289 0.031 La
0.500 0.000 0.000 Te
0.500 0.000 0.500 Te
0.000 0.000 0.000 Te
0.000 0.000 0.500 Te
0.500 0.500 0.000 Ir
0.500 0.500 0.500 Ir
0.000 0.500 0.500 Ir
0.000 0.500 0.000 S

# 3
SrTe2OsN | the Alexandria database | PBE | optimized geometry; ΔE_f (raw) = -1.46 eV/f.u.; SG = P4/mmm (123); V = 122 Å³ per cell; DFT total energy = -5.80 eV/atom
1.0
5.698 0.000 0.000
0.000 5.698 0.000
0.000 0.000 3.743
Sr Te Os N
1 2 1 1
Direct
0.500 0.500 0.500 Sr
0.000 0.500 0.000 Te
0.500 0.000 0.000 Te
0.000 0.000 0.000 Os
0.000 0.000 0.500 N

# 4
TaTl2Sb | the Alexandria database | PBE | optimized geometry; ΔE_f (raw) = 2.59 eV/f.u.; SG = I-42d (122); V = 203 Å³ per cell; DFT total energy = -4.53 eV/atom
1.0
-0.577 0.436 -4.140
-1.263 -4.001 -0.245
-11.747 1.522 -0.334
Sb Tl Ta
2 4 2
Direct
0.500 0.500 0.000 Sb
0.250 0.750 0.500 Sb
0.635 0.125 0.250 Tl
0.115 0.625 0.250 Tl
0.375 0.365 0.750 Tl
0.875 0.885 0.750 Tl
0.000 0.000 0.000 Ta
0.750 0.250 0.500 Ta

# 5
PrCdAgSn | the Alexandria database | PBE | optimized geometry; SG = F-43m (216); V = 99 Å³ per cell; DFT total energy = -3.46 eV/atom; energy of formation = -320 meV/atom
1.0
5.194 0.000 0.000
2.597 4.498 0.000
2.597 1.499 4.241
Pr Sn Ag Cd
1 1 1 1
Direct
0.250 0.250 0.250 Pr
0.000 0.000 0.000 Sn
0.500 0.500 0.500 Ag
0.750 0.750 0.750 Cd

# 6
TaGaRhO6 | the Alexandria database | PBE | optimized geometry; ΔE_f (raw) = -16.09 eV/f.u.; SG = P4_2nm (102); V = 201 Å³ per cell; DFT total energy = -7.56 eV/atom
1.0
-4.634 0.605 0.157
-0.488 -2.768 -3.737
-0.769 -7.313 5.518
Ta Ga Rh O
2 2 2 12
Direct
0.500 0.500 0.164 Ta
0.000 0.000 0.664 Ta
0.500 0.500 0.500 Ga
0.000 0.000 0.000 Ga
0.500 0.500 0.833 Rh
0.000 0.000 0.333 Rh
0.200 0.800 0.504 O
0.800 0.200 0.504 O
0.300 0.300 0.004 O
0.700 0.700 0.004 O
0.194 0.806 0.166 O
0.806 0.194 0.166 O
0.306 0.306 0.666 O
0.694 0.694 0.666 O
0.804 0.196 0.831 O
0.196 0.804 0.831 O
0.696 0.696 0.331 O
0.304 0.304 0.331 O